# LiHfAs2Se | Alexandria via LeMat-Bulk | PBE | relaxed
# Crystal system ... tetragonal
# DOS(E_F) ... 2.7 states/eV per cell
# Energy above the lowest structure with this stoichiometry ... 450 meV per atom
# Calculated volume ... 19.134 A^3/atom
# Total energy ... -4.7248 eV per atom
data_LiHfAs2Se
_cell_length_a 4.353
_cell_length_b 4.353
_cell_length_c 5.050
_cell_angle_alpha 90.00
_cell_angle_beta 90.00
_cell_angle_gamma 90.00
_symmetry_space_group_name_H-M 'P 4/m m m'
_symmetry_Int_Tables_number 123
_symmetry_space_group_name_Hall '-P 4 2'
loop_
_atom_site_label
_atom_site_fract_x
_atom_site_fract_y
_atom_site_fract_z
Li1 0.000 0.000 0.000
Hf1 0.500 0.500 0.500
As1 0.000 0.500 0.000
Se1 0.000 0.000 0.500